Computed, not measured: PrNdGa after structural relaxation at the PBE level of DFT.

a = 5.0749 Å, b = 5.0749 Å, c = 8.7314 Å
α = 90.00°, β = 90.00°, γ = 120.00°
Closest atoms and distances in Å follow each position.
Space group P-6m2 (No. 187)
Inequivalent atoms, fractional coordinates:
Pr: 0.0000 0.0000 0.2347 [2 per cell]  3 Ga 3.11
Nd: 0.3333 0.6667 0.5000 [1 per cell]  6 Ga 3.20
Nd: 0.6667 0.3333 0.0000 [1 per cell]  2 Ga 3.08
Ga: 0.6667 0.3333 0.3528 [2 per cell]  1 Ga 2.57

Mass density   6.1 g/cm3
Formation energy from the elements   -144.8 meV/atom
Crystal system   hexagonal
Electronic total energy   -4.34 eV/atom
Energy above the lowest structure with this stoichiometry   0.249 eV per atom